First-principles (GGA+U) data for a geometry-optimized Li6V3P8O29 structure, as listed in Alexandria.

Crystal system: triclinic
E in eV per atom: -7.017

Lattice parameters (Å, degrees): 9.798 9.805 13.996 89.77 89.77 60.07
Space group P1 (No. 1)
Inequivalent atoms, fractional coordinates:
Li (0.000, 0.000, 0.000) x1
Li (0.002, 0.576, 0.489) x1
Li (0.091, 0.815, 0.612) x1
Li (0.096, 0.247, 0.175) x1
Li (0.435, 0.576, 0.947) x1
Li (0.443, 0.008, 0.488) x1
Li (0.448, 0.140, 0.000) x1
Li (0.544, 0.233, 0.613) x1
Li (0.673, 0.684, 0.612) x1
Li (0.775, 0.906, 0.080) x1
Li (0.857, 0.590, 0.000) x1
Li (0.867, 0.146, 0.488) x1
V (0.198, 0.915, 0.808) x1
V (0.207, 0.479, 0.301) x1
V (0.335, 0.340, 0.808) x1
V (0.338, 0.907, 0.305) x1
V (0.765, 0.348, 0.299) x1
V (0.773, 0.477, 0.808) x1
P (0.005, 0.589, 0.711) x1
P (0.079, 0.687, 0.895) x1
P (0.082, 0.825, 0.396) x1
P (0.100, 0.248, 0.425) x1
P (0.102, 0.243, 0.934) x1
P (0.436, 0.578, 0.688) x1
P (0.438, 0.578, 0.184) x1
P (0.448, 0.997, 0.711) x1
P (0.457, 0.133, 0.214) x1
P (0.540, 0.229, 0.398) x1
P (0.544, 0.824, 0.895) x1
P (0.682, 0.220, 0.895) x1
P (0.683, 0.679, 0.397) x1
P (0.855, 0.147, 0.711) x1
P (0.859, 0.602, 0.212) x1
P (0.992, 0.001, 0.211) x1
O (0.007, 0.915, 0.487) x1
O (0.017, 0.996, 0.716) x1
O (0.023, 0.654, 0.617) x1
O (0.027, 0.574, 0.216) x1
O (0.084, 0.263, 0.532) x1
O (0.090, 0.100, 0.894) x1
O (0.102, 0.395, 0.380) x1
O (0.102, 0.660, 0.397) x1
O (0.103, 0.242, 0.041) x1
O (0.107, 0.830, 0.897) x1
O (0.145, 0.010, 0.223) x1
O (0.151, 0.428, 0.736) x1
O (0.242, 0.817, 0.377) x1
O (0.243, 0.537, 0.888) x1
O (0.254, 0.096, 0.392) x1
O (0.258, 0.232, 0.894) x1
O (0.282, 0.727, 0.728) x1
O (0.286, 0.012, 0.736) x1
O (0.290, 0.576, 0.227) x1
O (0.294, 0.286, 0.221) x1
O (0.391, 0.388, 0.382) x1
O (0.394, 0.809, 0.888) x1
O (0.425, 0.994, 0.224) x1
O (0.436, 0.580, 0.581) x1
O (0.437, 0.159, 0.716) x1
O (0.437, 0.575, 0.078) x1
O (0.440, 0.425, 0.728) x1
O (0.442, 0.720, 0.227) x1
O (0.510, 0.249, 0.897) x1
O (0.513, 0.914, 0.618) x1
O (0.517, 0.827, 0.397) x1
O (0.532, 0.148, 0.488) x1
O (0.549, 0.117, 0.125) x1
O (0.553, 0.920, 0.974) x1
O (0.560, 0.118, 0.307) x1
O (0.566, 0.891, 0.794) x1
O (0.584, 0.582, 0.728) x1
O (0.585, 0.426, 0.225) x1
O (0.668, 0.384, 0.888) x1
O (0.674, 0.529, 0.381) x1
O (0.688, 0.652, 0.897) x1
O (0.690, 0.243, 0.395) x1
O (0.749, 0.133, 0.794) x1
O (0.770, 0.703, 0.306) x1
O (0.771, 0.671, 0.487) x1
O (0.772, 0.166, 0.618) x1
O (0.775, 0.693, 0.124) x1
O (0.779, 0.113, 0.974) x1
O (0.853, 0.170, 0.214) x1
O (0.853, 0.578, 0.716) x1
O (0.870, 0.438, 0.221) x1
O (0.871, 0.293, 0.737) x1
O (0.955, 0.242, 0.379) x1
O (0.958, 0.399, 0.895) x1
O (0.972, 0.697, 0.974) x1
O (0.973, 0.915, 0.306) x1
O (0.984, 0.916, 0.124) x1
O (0.991, 0.708, 0.793) x1